# 1
CsRbSnF6: optimized geometry, PBE.

```
CsRbSnF6
1.0
6.709 0.007 0.002
3.361 5.807 -0.001
0.002 -0.004 5.542
Cs Rb Sn F
1 1 1 6
Direct
0.000 0.000 0.000
0.666 0.666 0.500
0.333 0.333 0.500
0.085 0.334 0.296
0.334 0.085 0.704
0.580 0.335 0.704
0.083 0.582 0.703
0.335 0.581 0.296
0.582 0.083 0.297
```

Computed properties:
As for the space group: C2, No. 5. For the formation energy without anion corrections, the calculation gives -2744 meV per atom.



# 2
CeYPt2: optimized geometry, PBE.

```
CeYPt2
1.0
-1.688 -2.177 2.585
0.484 -3.586 -2.703
5.612 0.045 0.946
Ce Y Pt
1 1 2
Direct
0.447 0.500 0.432
0.720 0.000 0.980
0.173 0.500 0.885
0.991 0.000 0.521
```

Computed properties:
The value obtained for the formation energy is -1.1884 eV per atom. As for the space group: Amm2, No. 38.



no.,energy (Ha/atom)
1,-0.1705
2,-0.2686